Tb8Dy3Er3 | PBE-GGA | relaxed

Structure (CIF):
```
data_Tb8Dy3Er3
_space_group_name_H-M_alt 'I m m m'
_space_group_IT_number 71
_space_group_name_Hall '-I 2 2'
_cell_length_a 5.5858
_cell_length_b 10.7246
_cell_length_c 14.8417
_cell_angle_alpha 90.00
_cell_angle_beta 90.00
_cell_angle_gamma 90.00
loop_
_atom_site_label
_atom_site_fract_x
_atom_site_fract_y
_atom_site_fract_z
Tb1 0.0000 0.1585 0.2224
Tb2 0.0000 0.3403 0.3965
Dy1 0.0000 0.0000 0.5000
Dy2 0.0000 0.5000 0.1807
Er1 0.0000 0.0000 0.0000
Er2 0.0000 0.2981 0.0000
```

Summary:
Energy of formation, kJ per mole of atoms: 11